# meta-GGA SCAN Mg3Ag, PBEsol geometry
data_Mg3Ag
_symmetry_space_group_name_H-M 'P 1'
_symmetry_Int_Tables_number 1
_cell_length_a 3.0326
_cell_length_b 4.5777
_cell_length_c 5.9634
_cell_angle_alpha 90.00
_cell_angle_beta 106.50
_cell_angle_gamma 90.00
loop_
_symmetry_equiv_pos_as_xyz
'x,y,z'
loop_
_atom_site_label
_atom_site_fract_x
_atom_site_fract_y
_atom_site_fract_z
Mg1 0.5000 0.0000 0.5000
Mg2 0.8057 0.5000 0.2360
Ag1 0.0000 0.0000 0.0000
Mg3 0.1943 0.5000 0.7640
# ΔH_f (0 K) = -0.10 eV/atom
# VASP energy = -11.67 eV per atom
# Symmetry = P2/m (10)
# Density of states at the Fermi level = 0.280 states/eV/atom